TeRuW2 | PBE | optimized geometry

Properties
ΔE_f (raw) in eV/atom: 0.38
Total magnetization in μB/f.u.: 0.0
Total energy in eV per atom: -9.1992

Cell lengths 3.192, 3.192, 6.813 Å; angles 90.00, 90.00, 90.00 degrees
Atoms (fractional coordinates):
Te 0.000 0.000 0.000
Ru 0.500 0.500 0.707
W 0.000 0.000 0.497
W 0.500 0.500 0.261

***

Sr5SnPb4 | PBE | optimized geometry

Properties
Total magnetization in μB/f.u.: 0.0
Total energy in eV per atom: -3.2544

Cell lengths 4.001, 4.001, 21.798 Å; angles 90.00, 90.00, 90.00 degrees
Atoms (fractional coordinates):
Sr 0.000 0.000 0.000
Sr 0.000 0.000 0.201
Sr 0.000 0.000 0.403
Sr 0.000 0.000 0.597
Sr 0.000 0.000 0.799
Sn 0.500 0.500 0.500
Pb 0.500 0.500 0.101
Pb 0.500 0.500 0.302
Pb 0.500 0.500 0.698
Pb 0.500 0.500 0.899